3
Lattice="3.682 0.000 0.000 0.000 3.682 0.000 -1.841 -1.841 5.624" Properties=species:S:1:pos:R:3 comment="TmGaBi (PBE, optimized geometry)" delta_e_f_ev_per_atom=-0.291 dos_ef_per_ev_cell=2.18 energy_ev_per_atom=-4.08 pbc="T T T"
Tm 0.000 0.000 2.990
Ga 1.841 1.841 1.444
Bi 1.841 1.841 5.126

4
Lattice="3.396 0.049 3.851 -0.233 -3.579 3.674 3.618 -3.632 0.278" Properties=species:S:1:pos:R:3 comment="CdSn2S (PBE, optimized geometry)" dos_ef_per_ev_cell=2.20 raw_formation_energy_mev_per_atom=132 energy_ev_per_atom=-3.13 pbc="T T T"
Cd 3.391 -3.581 3.902
Sn 1.695 -1.791 1.951
Sn 5.086 -5.372 5.852
S 0.000 0.000 0.000

96
Lattice="11.843 0.000 0.000 0.000 8.622 -0.040 0.000 6.488 9.356" Properties=species:S:1:pos:R:3 comment="KNaH12CO9 (PBE, optimized geometry)" dos_ef_per_ev_cell=0.00 energy_ev_per_atom=-5.25 pbc="T T T"
H 11.570 2.985 0.291
H 9.396 10.148 7.410
H 10.138 8.083 8.883
H 6.670 8.398 7.940
H 0.572 6.996 3.477
H 0.273 12.124 9.024
H 9.965 9.245 3.424
H 7.948 5.023 7.055
H 7.627 4.839 4.205
H 11.095 5.154 3.263
H 10.138 3.931 2.900
H 4.216 10.270 5.111
H 1.879 5.864 5.892
H 4.021 11.434 6.155
H 3.895 10.087 2.260
H 9.817 1.779 2.377
H 10.677 11.497 8.993
H 1.705 11.179 6.415
H 6.493 4.870 1.160
H 5.350 10.240 8.155
H 4.043 2.620 1.214
H 2.447 4.961 1.905
H 7.801 12.489 8.102
H 4.955 4.640 0.836
H 5.173 6.711 1.375
H 6.195 6.229 4.969
H 8.369 6.904 2.732
H 9.943 6.919 7.839
H 11.272 8.114 5.838
H 6.889 10.469 8.480
H 1.166 3.613 0.322
H 7.088 8.253 4.315
H 0.749 9.955 6.053
H 1.900 8.191 1.477
H 10.876 7.225 3.802
H 8.311 6.231 1.309
H 9.454 9.475 5.987
H 4.756 6.857 5.000
H 3.475 8.205 6.583
H 0.967 7.884 5.514
H 4.217 7.935 1.737
H 1.706 7.027 0.433
H 7.627 7.175 7.578
H 2.390 5.634 3.328
H 5.648 8.880 4.346
H 2.027 13.331 6.938
H 7.822 3.675 3.161
H 3.532 8.878 8.006
O 8.792 3.127 1.817
O 7.336 3.919 3.995
O 7.955 6.662 4.499
O 10.394 9.651 2.641
O 3.051 11.982 7.498
O 4.949 7.658 1.144
O 1.449 5.459 6.675
O 8.973 6.371 6.495
O 3.303 8.036 7.546
O 0.681 2.755 0.412
O 10.870 4.208 3.494
O 2.870 8.739 2.820
O 4.508 11.191 5.320
O 9.758 7.905 5.030
O 8.007 4.662 0.352
O 6.895 7.452 8.172
O 4.473 2.215 1.997
O 10.430 7.163 8.673
O 2.619 4.792 2.868
O 8.540 7.074 1.769
O 5.241 5.999 5.090
O 9.810 9.906 9.176
O 6.602 9.111 4.225
O 9.225 10.318 6.447
O 11.491 6.800 3.151
O 1.414 7.947 0.642
O 6.274 10.044 7.829
O 11.163 12.355 8.903
O 3.836 10.448 8.963
O 5.570 5.066 1.486
O 7.371 12.895 7.319
O 0.973 10.901 5.822
O 2.085 7.204 4.285
O 2.033 5.204 0.139
O 3.889 8.448 4.817
O 0.352 8.310 6.164
C 8.868 3.730 0.669
C 8.897 6.973 5.347
C 2.947 8.136 3.969
C 2.975 11.380 8.647
Na 6.974 11.009 5.747
Na 1.052 7.345 8.246
Na 10.791 7.765 1.069
Na 4.869 4.101 3.568
K 4.859 5.652 7.829
K 10.781 12.701 6.164
K 6.984 9.458 1.486
K 1.063 2.408 3.151

4
Lattice="-2.262 -3.032 1.769 -0.716 -1.109 -2.817 4.577 -3.331 0.143" Properties=species:S:1:pos:R:3 comment="TlZn2Cu (PBE, optimized geometry)" delta_e_f_ev_per_atom=0.180 dos_ef_per_ev_cell=1.31 energy_ev_per_atom=-2.07 pbc="T T T"
Cu 1.907 -1.999 -0.987
Zn -0.124 -1.337 -2.451
Zn -0.458 -2.618 -0.143
Tl 1.488 -4.848 -1.478

4
Lattice="-1.988 -2.536 -5.415 0.478 -4.776 -4.084 -4.004 -4.123 0.480" Properties=species:S:1:pos:R:3 comment="Tl2ZnPb (PBE, optimized geometry)" delta_e_f_ev_per_atom=0.095 dos_ef_per_ev_cell=1.24 energy_ev_per_atom=-2.33 pbc="T T T"
Pb -1.638 -2.939 -1.911
Tl -3.951 -4.084 0.448
Tl -4.237 -8.868 -7.068
Zn -2.449 -5.384 -4.519

4
Lattice="-1.518 -1.720 3.654 -3.134 -2.961 -0.149 0.870 -4.113 0.973" Properties=species:S:1:pos:R:3 comment="NaTcF2 (PBE, optimized geometry)" dos_ef_per_ev_cell=5.56 raw_formation_energy_mev_per_atom=-757 energy_ev_per_atom=-4.61 pbc="T T T"
F -2.837 -6.596 3.359
F -0.946 -2.199 1.120
Tc -1.891 -4.397 2.239
Na 0.000 0.000 0.000